This record from Alexandria via LeMat-Bulk describes a relaxed AlCu3 crystal. The functional is PBE-GGA.

Summary:
The calculation puts the raw total energy at -4.19 eV/atom. The density is 7.212 Mg/m³. The total magnetization comes out at 0.00 μB/f.u. For the calculated formation energy, the calculation gives -0.1778 eV/atom. As for the space group: No. 123. The density of states at the Fermi level is 0.23 states/eV per atom.

a = 3.426 Å, b = 3.824 Å, c = 3.824 Å
α = 90.00°, β = 90.00°, γ = 90.00°
Positions (direct):
Al: 0.500 0.000 0.583
Cu: 0.000 0.000 0.083
Cu: 0.000 0.500 0.583
Cu: 0.500 0.500 0.083

---

This record from Alexandria via LeMat-Bulk describes a relaxed Ti2CuSb crystal. The functional is PBE-GGA.

Summary:
The calculation puts the raw total energy at -6.29 eV/atom. The density is 7.013 Mg/m³. The total magnetization comes out at 0.00 μB/f.u. The calculation puts the uncorrected formation energy at -1.148 eV/f.u. As for the space group: No. 123. The density of states at the Fermi level is 0.79 states/eV per atom.

a = 4.178 Å, b = 3.991 Å, c = 3.991 Å
α = 90.00°, β = 90.00°, γ = 90.00°
Positions (direct):
Sb: 0.500 0.500 0.500
Cu: 0.500 0.000 0.000
Ti: 0.000 0.000 0.500
Ti: 0.000 0.500 0.000